This record from Alexandria via LeMat-Bulk describes La3DyPt2 after structural relaxation. The functional is PBE.

Space-group type = P-1 (2)
Fermi-level density of states = 7.01 states/eV/f.u.
Formation energy = -769 meV/atom

Geometry as POSCAR:
```
La3DyPt2
1.0
4.6328 -0.0139 -1.3954
-0.3715 4.5251 -1.2926
-0.1965 -0.1129 8.3311
La Dy Pt
3 1 2
direct
0.5000 0.5000 0.0000
0.8196 0.3121 0.6237
0.1804 0.6879 0.3763
0.0000 0.0000 0.0000
0.3297 0.8711 0.7454
0.6703 0.1289 0.2546
```